8
Lattice="7.3739 0.0000 0.0000 0.0000 4.2686 0.0000 -2.4612 0.0000 7.0382" Properties=species:S:1:pos:R:3 comment="Nd4SiGeSe2 GGA-PBE optimized geometry" volume_a3_per_cell=221.5 total_energy_ev_per_cell=-46.85 pbc="T T T"
Nd 1.2171 0.0000 1.6889
Nd -0.0080 2.1343 5.3457
Nd 4.9207 2.1343 1.6925
Nd 3.6956 0.0000 5.3493
Si 0.0000 2.1343 0.0000
Ge 3.6869 0.0000 0.0000
Se -1.2306 0.0000 3.5191
Se 2.4563 2.1343 3.5191



4
Lattice="2.1227 1.2256 6.9884 -2.1227 1.2256 6.9884 0.0000 -2.4511 6.9884" Properties=species:S:1:pos:R:3 comment="NdSmGeSe GGA-PBE optimized geometry" volume_a3_per_cell=109.1 total_energy_ev_per_cell=-23.18 pbc="T T T"
Nd 0.0000 0.0000 0.0000
Sm 0.0000 0.0000 10.3493
Ge 0.0000 0.0000 15.6778
Se 0.0000 0.0000 5.1455



12
Lattice="9.4349 -2.1530 0.0000 9.4349 2.1530 0.0000 -2.0468 0.0000 8.4450" Properties=species:S:1:pos:R:3 comment="Nd6SnGe2Se3 GGA-PBE optimized geometry" volume_a3_per_cell=343.1 total_energy_ev_per_cell=-68.52 pbc="T T T"
Nd -0.4806 0.0000 2.1902
Nd 5.3696 0.0000 3.5689
Nd 4.3708 0.0000 7.6578
Nd 12.4521 0.0000 0.7871
Nd 11.4533 0.0000 4.8761
Nd 17.3035 0.0000 6.2547
Sn 9.4349 0.0000 0.0000
Ge 2.4672 0.0000 2.8194
Ge 14.3557 0.0000 5.6255
Se 1.4272 0.0000 7.0256
Se 8.4115 0.0000 4.2225
Se 15.3957 0.0000 1.4194



4
Lattice="2.1051 1.2154 6.9278 -2.1051 1.2154 6.9278 0.0000 -2.4308 6.9278" Properties=species:S:1:pos:R:3 comment="TbNdGeSe GGA-PBE optimized geometry" volume_a3_per_cell=106.4 total_energy_ev_per_cell=-23.07 pbc="T T T"
Tb 0.0000 0.0000 0.0000
Nd 0.0000 0.0000 10.5373
Ge 0.0000 0.0000 5.3156
Se 0.0000 0.0000 15.5930



16
Lattice="4.3351 2.5028 7.3115 -4.3351 2.5028 7.3115 0.0000 -5.0057 7.3115" Properties=species:S:1:pos:R:3 comment="Nd8GeTe4Se3 GGA-PBE optimized geometry" volume_a3_per_cell=476.0 total_energy_ev_per_cell=-90.83 pbc="T T T"
Nd 0.0000 0.0000 5.2600
Nd -2.1318 -1.2308 12.5799
Nd 0.0000 -2.4616 9.3545
Nd -2.1318 1.2308 9.3545
Nd 2.1318 -1.2308 12.5799
Nd 0.0000 2.4616 12.5799
Nd 2.1318 1.2308 9.3545
Nd 0.0000 0.0000 16.6744
Ge 0.0000 0.0000 10.9672
Te 0.0000 0.0000 0.0000
Te -2.1675 -1.2514 7.3115
Te -2.1675 1.2514 14.6229
Te 0.0000 2.5028 7.3115
Se -4.3351 0.0000 10.9672
Se -2.1675 1.2514 3.6557
Se 2.1675 1.2514 3.6557



8
Lattice="7.5263 0.0000 0.0000 0.0000 4.3587 0.0000 -2.5288 0.0000 7.3221" Properties=species:S:1:pos:R:3 comment="Nd4GeTe2Se GGA-PBE optimized geometry" volume_a3_per_cell=240.2 total_energy_ev_per_cell=-45.22 pbc="T T T"
Nd 1.2093 0.0000 1.6351
Nd -0.0673 2.1793 5.6916
Nd 5.0648 2.1793 1.6306
Nd 3.7882 0.0000 5.6871
Ge 0.0000 2.1793 0.0000
Te -1.2644 0.0000 3.6611
Te 2.4988 2.1793 3.6611
Se 3.7631 0.0000 0.0000



12
Lattice="9.3769 -2.1541 0.0000 9.3769 2.1541 0.0000 -1.9005 0.0000 8.4613" Properties=species:S:1:pos:R:3 comment="Nd6Ge2TeSe3 GGA-PBE optimized geometry" volume_a3_per_cell=341.8 total_energy_ev_per_cell=-69.49 pbc="T T T"
Nd -0.3992 0.0000 2.2736
Nd 4.4324 0.0000 7.6106
Nd 5.4022 0.0000 3.5645
Nd 11.4512 0.0000 4.8968
Nd 12.4209 0.0000 0.8507
Nd 17.2526 0.0000 6.1877
Ge 2.4973 0.0000 2.8291
Ge 14.3561 0.0000 5.6322
Te 9.3769 0.0000 0.0000
Se 1.4784 0.0000 7.0704
Se 8.4267 0.0000 4.2307
Se 15.3750 0.0000 1.3909



16
Lattice="4.3560 2.5150 7.0892 -4.3560 2.5150 7.0892 0.0000 -5.0299 7.0892" Properties=species:S:1:pos:R:3 comment="Nd8GeTe3Se4 GGA-PBE optimized geometry" volume_a3_per_cell=466.0 total_energy_ev_per_cell=-91.64 pbc="T T T"
Nd -2.3098 -1.3336 12.3374
Nd 0.0000 0.0000 5.0984
Nd 0.0000 -2.6672 8.9303
Nd -2.3098 1.3336 8.9303
Nd 2.3098 -1.3336 12.3374
Nd 0.0000 2.6672 12.3374
Nd 0.0000 0.0000 16.1693
Nd 2.3098 1.3336 8.9303
Ge 0.0000 0.0000 0.0000
Te -2.1780 -1.2575 7.0892
Te -2.1780 1.2575 14.1785
Te 0.0000 2.5149 7.0892
Se -4.3560 0.0000 10.6339
Se -2.1780 1.2575 3.5446
Se 2.1780 1.2575 3.5446
Se 0.0000 0.0000 10.6339



12
Lattice="9.4572 -2.1595 0.0000 9.4572 2.1595 0.0000 -2.1042 0.0000 8.4391" Properties=species:S:1:pos:R:3 comment="Nd6Ge3TeSe2 GGA-PBE optimized geometry" volume_a3_per_cell=344.7 total_energy_ev_per_cell=-68.51 pbc="T T T"
Nd -0.4717 0.0000 1.9772
Nd 5.3011 0.0000 3.5442
Nd 4.4199 0.0000 7.6875
Nd 12.3903 0.0000 0.7516
Nd 11.5091 0.0000 4.8948
Nd 17.2818 0.0000 6.4619
Ge 2.4315 0.0000 2.8007
Ge 9.4572 0.0000 0.0000
Ge 14.3787 0.0000 5.6384
Te 8.4051 0.0000 4.2195
Se 1.4135 0.0000 7.0425
Se 15.3966 0.0000 1.3966



12
Lattice="3.7811 -6.5439 0.0000 3.7811 6.5439 0.0000 -2.5182 0.0000 7.0307" Properties=species:S:1:pos:R:3 comment="Nd6GeTe2Se3 GGA-PBE optimized geometry" volume_a3_per_cell=347.9 total_energy_ev_per_cell=-68.96 pbc="T T T"
Nd -0.0887 2.0297 5.3426
Nd 1.0840 0.0000 1.6819
Nd -0.0887 -2.0297 5.3426
Nd 5.1327 2.0297 1.6881
Nd 3.9600 0.0000 5.3487
Nd 5.1327 -2.0297 1.6881
Ge -1.2591 0.0000 3.5153
Te 2.5220 2.1724 3.5153
Te 2.5220 -2.1724 3.5153
Se 3.7811 4.2758 0.0000
Se 3.7811 0.0000 0.0000
Se 3.7811 -4.2758 0.0000



16
Lattice="4.3744 2.5256 7.3008 -4.3744 2.5256 7.3008 0.0000 -5.0512 7.3008" Properties=species:S:1:pos:R:3 comment="Nd8Ge3Te4Se GGA-PBE optimized geometry" volume_a3_per_cell=484.0 total_energy_ev_per_cell=-89.84 pbc="T T T"
Nd -2.2294 -1.2872 12.5901
Nd 0.0000 0.0000 5.2976
Nd 0.0000 -2.5743 9.3124
Nd -2.2294 1.2872 9.3124
Nd 2.2294 -1.2871 12.5901
Nd 0.0000 2.5743 12.5901
Nd 0.0000 0.0000 16.6049
Nd 2.2294 1.2871 9.3124
Ge -4.3744 0.0000 10.9512
Ge -2.1872 1.2628 3.6504
Ge 2.1872 1.2628 3.6504
Te 0.0000 0.0000 0.0000
Te -2.1872 -1.2628 7.3008
Te -2.1872 1.2628 14.6017
Te 0.0000 2.5256 7.3008
Se 0.0000 0.0000 10.9512



12
Lattice="3.7586 -6.5042 0.0000 3.7586 6.5042 0.0000 -2.5000 0.0000 7.3296" Properties=species:S:1:pos:R:3 comment="Nd6GeTe3Se2 GGA-PBE optimized geometry" volume_a3_per_cell=358.4 total_energy_ev_per_cell=-68.07 pbc="T T T"
Nd 1.2265 2.1246 1.6229
Nd -0.0495 0.0000 5.7043
Nd 1.2265 -2.1246 1.6229
Nd 3.7907 2.1246 5.7067
Nd 5.0668 0.0000 1.6253
Nd 3.7907 -2.1246 5.7067
Ge 0.0000 0.0000 0.0000
Te 2.5086 4.3189 3.6648
Te 2.5086 0.0000 3.6648
Te 2.5086 -4.3189 3.6648
Se 3.7586 2.1646 0.0000
Se 3.7586 -2.1646 0.0000



16
Lattice="4.2852 2.4741 7.5746 -4.2852 2.4741 7.5746 0.0000 -4.9481 7.5746" Properties=species:S:1:pos:R:3 comment="Nd3Tl4GeSe8 GGA-PBE optimized geometry" volume_a3_per_cell=481.8 total_energy_ev_per_cell=-73.34 pbc="T T T"
Nd -2.1426 -1.2370 7.5746
Nd -2.1426 1.2370 15.1492
Nd 0.0000 2.4741 7.5746
Tl -4.2852 0.0000 11.3619
Tl -2.1426 1.2370 3.7873
Tl 2.1426 1.2370 3.7873
Tl 0.0000 0.0000 11.3619
Ge 0.0000 0.0000 0.0000
Se 0.0000 -2.5566 9.1509
Se -2.2141 1.2783 9.1509
Se -2.2141 -1.2783 13.5729
Se 0.0000 0.0000 5.9356
Se 0.0000 0.0000 16.7881
Se 2.2141 1.2783 9.1509
Se 2.2141 -1.2783 13.5729
Se 0.0000 2.5566 13.5729



12
Lattice="8.5335 0.0000 0.0000 0.0000 4.1211 0.0000 -2.9524 0.0000 10.7946" Properties=species:S:1:pos:R:3 comment="NdTlGeSe3 GGA-PBE optimized geometry" volume_a3_per_cell=379.6 total_energy_ev_per_cell=-56.07 pbc="T T T"
Nd 0.8693 1.0303 1.6710
Nd 4.7119 3.0908 9.1237
Tl -0.0385 3.0908 7.6843
Tl 5.6197 1.0303 3.1103
Ge 1.8598 3.0908 4.7401
Ge 3.7214 1.0303 6.0545
Se -1.7315 1.0303 9.5411
Se 0.1817 1.0303 4.5705
Se 2.8653 3.0908 2.4423
Se 2.7158 1.0303 8.3523
Se 5.3995 3.0908 6.2241
Se 7.3127 3.0908 1.2535



12
Lattice="9.4744 -2.1456 0.0000 9.4744 2.1456 0.0000 -2.3164 0.0000 8.4007" Properties=species:S:1:pos:R:3 comment="Nd6TlGe2Se3 GGA-PBE optimized geometry" volume_a3_per_cell=341.6 total_energy_ev_per_cell=-65.91 pbc="T T T"
Nd -0.6054 0.0000 2.2333
Nd 4.1100 0.0000 7.6382
Nd 5.2722 0.0000 3.5752
Nd 11.3603 0.0000 4.8255
Nd 12.5224 0.0000 0.7625
Nd 17.2379 0.0000 6.1673
Tl 9.4744 0.0000 0.0000
Ge 2.3674 0.0000 2.7628
Ge 14.2651 0.0000 5.6378
Se 1.2333 0.0000 6.9727
Se 8.3162 0.0000 4.2003
Se 15.3991 0.0000 1.4280



4
Lattice="2.0890 1.2061 6.8627 -2.0890 1.2061 6.8627 0.0000 -2.4122 6.8627" Properties=species:S:1:pos:R:3 comment="NdTmGeSe GGA-PBE optimized geometry" volume_a3_per_cell=103.7 total_energy_ev_per_cell=-22.78 pbc="T T T"
Nd 0.0000 0.0000 0.0000
Tm 0.0000 0.0000 10.1276
Ge 0.0000 0.0000 15.4335
Se 0.0000 0.0000 4.9582



4
Lattice="2.1032 1.2143 6.9205 -2.1032 1.2143 6.9205 0.0000 -2.4285 6.9205" Properties=species:S:1:pos:R:3 comment="NdYGeSe GGA-PBE optimized geometry" volume_a3_per_cell=106.0 total_energy_ev_per_cell=-24.93 pbc="T T T"
Nd 0.0000 0.0000 0.0000
Y 0.0000 0.0000 10.2267
Ge 0.0000 0.0000 15.5411
Se 0.0000 0.0000 5.0402



16
Lattice="8.8140 0.0000 0.0000 -4.4070 7.6331 0.0000 0.0000 0.0000 6.7071" Properties=species:S:1:pos:R:3 comment="Nd10Si3Ge3 GGA-PBE optimized geometry" volume_a3_per_cell=451.2 total_energy_ev_per_cell=-87.97 pbc="T T T"
Nd -1.0898 1.8875 0.0000
Nd -3.3242 5.7578 3.3535
Nd 1.0827 1.8754 3.3535
Nd 2.1796 0.0000 0.0000
Nd 0.0000 5.0887 1.7004
Nd 0.0000 5.0887 5.0067
Nd 4.4070 2.5444 1.7004
Nd 4.4070 2.5444 5.0067
Nd 3.3172 5.7456 0.0000
Nd 6.6485 0.0000 3.3535
Si -1.7309 2.9981 3.3535
Si 3.4619 0.0000 3.3535
Si 2.6760 4.6350 3.3535
Ge -2.6775 4.6375 0.0000
Ge 1.7295 2.9956 0.0000
Ge 5.3549 0.0000 0.0000



3
Lattice="-1.7554 1.7554 5.2144 1.7554 -1.7554 5.2144 1.7554 1.7554 -5.2144" Properties=species:S:1:pos:R:3 comment="NdSiGe GGA-PBE optimized geometry" volume_a3_per_cell=64.3 total_energy_ev_per_cell=-15.82 pbc="T T T"
Nd 0.0000 0.0000 0.0000
Si 0.0000 0.0000 7.3082
Ge 0.0000 0.0000 3.0738



4
Lattice="4.3449 0.0000 0.0000 0.0000 4.3449 0.0000 0.0000 0.0000 4.3971" Properties=species:S:1:pos:R:3 comment="NdSiGe2 GGA-PBE optimized geometry" volume_a3_per_cell=83.0 total_energy_ev_per_cell=-20.61 pbc="T T T"
Nd 0.0000 0.0000 0.0000
Si 2.1724 2.1724 0.0000
Ge 0.0000 2.1724 2.1986
Ge 2.1724 0.0000 2.1986